# Mn2AlCo GGA-PBE relaxed
data_Mn2AlCo
_cell_length_a 5.7050
_cell_length_b 5.7050
_cell_length_c 5.7050
_cell_angle_alpha 90.00
_cell_angle_beta 90.00
_cell_angle_gamma 90.00
_space_group_name_H-M_alt 'F m -3 m'
_space_group_IT_number 225
_space_group_name_Hall '-F 4 2 3'
loop_
_atom_site_label
_atom_site_type_symbol
_atom_site_fract_x
_atom_site_fract_y
_atom_site_fract_z
Mn1 Mn 0.2500 0.2500 0.2500
Al1 Al 0.0000 0.0000 0.0000
Co1 Co 0.0000 0.0000 0.5000
# Calculated volume   186 Å³/cell
# Total DFT energy (no corrections)   -115.37 eV for the cell shown
# Total magnetic moment   1.18 μB per cell
# ΔH_f (0 K)   0.09 eV/atom